# Na2PIr

A relaxed Na2PIr crystal (PBE, the Alexandria database).

Energy in eV per atom: -4.298
M_tot in μB per formula unit: 0.0

a = 11.059 Å, b = 11.059 Å, c = 8.116 Å
α = 47.05°, β = 47.05°, γ = 90.00°
Atoms (fractional coordinates):
P 0.500 0.500 0.000
P 0.250 0.750 0.500
Ir 0.000 0.000 0.000
Ir 0.750 0.250 0.500
Na 0.375 0.125 0.250
Na 0.375 0.625 0.250
Na 0.375 0.625 0.750
Na 0.875 0.625 0.750

=====

# NaP2Ir

A relaxed NaP2Ir crystal (PBE, the Alexandria database).

Energy in eV per atom: -5.547
M_tot in μB per formula unit: 0.0

a = 5.704 Å, b = 5.489 Å, c = 7.116 Å
α = 90.00°, β = 119.63°, γ = 90.00°
Atoms (fractional coordinates):
Na 0.122 0.000 0.625
Na 0.122 0.500 0.125
P 0.541 0.189 0.090
P 0.541 0.811 0.090
P 0.541 0.689 0.590
P 0.541 0.311 0.590
Ir 0.531 0.000 0.381
Ir 0.531 0.500 0.881

=====

# NaP2Ir

A relaxed NaP2Ir crystal (PBE, the Alexandria database).

Energy in eV per atom: -5.414
M_tot in μB per formula unit: 0.0

a = 6.732 Å, b = 2.876 Å, c = 8.228 Å
α = 90.00°, β = 108.21°, γ = 90.00°
Atoms (fractional coordinates):
Na 0.342 0.000 0.308
Na 0.342 0.500 0.808
P 0.640 0.000 0.668
P 0.640 0.500 0.168
P 0.926 0.000 0.588
P 0.926 0.500 0.088
Ir 0.970 0.000 0.886
Ir 0.970 0.500 0.386

=====

# NaP2Ir

A relaxed NaP2Ir crystal (PBE, the Alexandria database).

Energy in eV per atom: -5.370
M_tot in μB per formula unit: 0.0

a = 3.909 Å, b = 3.909 Å, c = 7.468 Å
α = 74.83°, β = 74.83°, γ = 60.00°
Atoms (fractional coordinates):
P 0.128 0.128 0.615
P 0.872 0.872 0.385
Ir 0.500 0.500 0.500
Na 0.000 0.000 0.000

=====

# NaP3Ir4

A relaxed NaP3Ir4 crystal (PBE, the Alexandria database).

Energy in eV per atom: -7.122
M_tot in μB per formula unit: 0.0

a = 3.993 Å, b = 3.993 Å, c = 7.687 Å
α = 90.00°, β = 90.00°, γ = 90.00°
Atoms (fractional coordinates):
Na 0.000 0.000 0.500
Ir 0.500 0.000 0.188
Ir 0.000 0.500 0.188
Ir 0.500 0.000 0.812
Ir 0.000 0.500 0.812
P 0.000 0.000 0.000
P 0.500 0.500 0.345
P 0.500 0.500 0.655

=====

# Na2PIr2

A relaxed Na2PIr2 crystal (PBE, the Alexandria database).

Energy in eV per atom: -5.415
M_tot in μB per formula unit: 0.0

a = 5.974 Å, b = 5.974 Å, c = 5.091 Å
α = 90.00°, β = 90.00°, γ = 90.00°
Atoms (fractional coordinates):
P 0.000 0.000 0.000
P 0.500 0.500 0.000
Ir 0.349 0.849 0.000
Ir 0.849 0.651 0.000
Ir 0.651 0.151 0.000
Ir 0.151 0.349 0.000
Na 0.169 0.669 0.500
Na 0.669 0.831 0.500
Na 0.831 0.331 0.500
Na 0.331 0.169 0.500

=====

# NaP2Ir

A relaxed NaP2Ir crystal (PBE, the Alexandria database).

Energy in eV per atom: -5.447
M_tot in μB per formula unit: 0.0

a = 4.893 Å, b = 2.882 Å, c = 11.911 Å
α = 90.00°, β = 113.98°, γ = 90.00°
Atoms (fractional coordinates):
Na 0.059 0.000 0.581
Na 0.059 0.500 0.081
P 0.682 0.000 0.750
P 0.682 0.500 0.250
P 0.525 0.000 0.903
P 0.525 0.500 0.403
Ir 0.104 0.000 0.327
Ir 0.104 0.500 0.827

=====

# NaP2Ir

A relaxed NaP2Ir crystal (PBE, the Alexandria database).

Energy in eV per atom: -5.630
M_tot in μB per formula unit: 0.0

a = 6.074 Å, b = 4.130 Å, c = 6.388 Å
α = 90.00°, β = 108.56°, γ = 90.00°
Atoms (fractional coordinates):
Na 0.747 0.000 0.696
Na 0.747 0.500 0.196
P 0.110 0.000 0.151
P 0.110 0.500 0.651
P 0.394 0.000 0.947
P 0.394 0.500 0.447
Ir 0.195 0.000 0.530
Ir 0.195 0.500 0.030

=====

# NaPaP2Ir4

A relaxed NaPaP2Ir4 crystal (PBE, the Alexandria database).

Energy in eV per atom: -7.756
M_tot in μB per formula unit: 0.0

a = 4.034 Å, b = 4.034 Å, c = 9.738 Å
α = 90.00°, β = 90.00°, γ = 90.00°
Atoms (fractional coordinates):
Na 0.000 0.000 0.500
Pa 0.000 0.000 0.000
P 0.500 0.500 0.326
P 0.500 0.500 0.674
Ir 0.000 0.500 0.209
Ir 0.500 0.000 0.791
Ir 0.500 0.000 0.209
Ir 0.000 0.500 0.791

=====

# NaPIrPd

A relaxed NaPIrPd crystal (PBE, the Alexandria database).

Energy in eV per atom: -5.469
M_tot in μB per formula unit: 0.0

a = 3.885 Å, b = 3.885 Å, c = 10.437 Å
α = 90.00°, β = 90.00°, γ = 90.00°
Atoms (fractional coordinates):
Na 0.750 0.750 0.279
Na 0.250 0.250 0.721
P 0.750 0.750 0.872
P 0.250 0.250 0.128
Ir 0.750 0.250 0.000
Ir 0.250 0.750 0.000
Pd 0.250 0.750 0.500
Pd 0.750 0.250 0.500

=====

# Na2P2IrPd

A relaxed Na2P2IrPd crystal (PBE, the Alexandria database).

Energy in eV per atom: -5.029
M_tot in μB per formula unit: 0.0

a = 6.326 Å, b = 5.633 Å, c = 7.643 Å
α = 111.62°, β = 114.45°, γ = 90.00°
Atoms (fractional coordinates):
Na 0.416 0.176 0.352
Na 0.584 0.824 0.648
Na 0.064 0.324 0.648
Na 0.936 0.676 0.352
P 0.829 0.093 0.187
P 0.358 0.593 0.187
P 0.642 0.407 0.813
P 0.171 0.907 0.813
Ir 0.500 0.750 0.000
Ir 0.500 0.250 0.000
Pd 0.000 0.750 0.000
Pd 0.000 0.250 0.000

=====

# RbNa2PIr

A relaxed RbNa2PIr crystal (PBE, the Alexandria database).

Energy in eV per atom: -3.723
M_tot in μB per formula unit: 0.0

a = 5.607 Å, b = 5.607 Å, c = 4.450 Å
α = 90.00°, β = 90.00°, γ = 90.00°
Atoms (fractional coordinates):
P 0.000 0.000 0.500
Ir 0.000 0.000 0.000
Rb 0.500 0.500 0.500
Na 0.000 0.500 0.000
Na 0.500 0.000 0.000